Entry from Alexandria: a relaxed LaTaRu2 crystal (GGA-PBE).

It has space group Imm2 (No. 44), with a = 3.2911 Å, b = 4.4113 Å, c = 11.1526 Å, α = 90.00°, β = 90.00° and γ = 90.00°. The distinct sites, in fractional coordinates, are La at (0.0000, 0.0000, 0.0000), Ta at (0.0000, 0.5000, 0.2396), Ru at (0.0000, 0.0000, 0.5641) and Ru at (0.0000, 0.5000, 0.7529).

The value obtained for the volume is 161.9 Å³/cell. The magnetization is 0.00 μB per formula unit. As for the density of states at the Fermi level: 0.71 states/eV/atom. Its crystal system is orthorhombic. The calculation puts the formation energy at 161 meV/atom.